Density functional theory data (GGA-PBE) for LiSbRh after structural relaxation.

Geometry as POSCAR:
```
LiSbRh
1.0
3.3011 0.0000 0.0000
-1.6505 2.8588 0.0000
0.0000 0.0000 6.1824
Rh Sb Li
1 1 1
Direct
0.6667 0.3333 0.3454
0.3333 0.6667 0.6292
0.0000 0.0000 0.0254
```

As for the space-group type: P3m1 (156). The calculation puts the density at 6592 kg/m3. For the energy relative to the elements, uncorrected, the calculation gives -135 meV per atom.

=====

Density functional theory data (GGA-PBE) for AcLaSm3 after structural relaxation.

Geometry as POSCAR:
```
AcLaSm3
1.0
3.7462 0.0000 0.0000
0.0000 10.4810 0.0000
0.0000 0.0000 18.5718
Sm La Ac
12 4 4
Direct
0.7500 0.6297 0.4501
0.2500 0.8703 0.9501
0.2500 0.8721 0.7500
0.7500 0.6279 0.2500
0.2500 0.3703 0.5499
0.7500 0.1297 0.0499
0.2500 0.3721 0.7500
0.7500 0.1245 0.6498
0.7500 0.6245 0.8502
0.7500 0.1279 0.2500
0.2500 0.8755 0.3502
0.2500 0.3755 0.1498
0.2500 0.8779 0.5487
0.2500 0.3779 0.9513
0.7500 0.6221 0.0487
0.7500 0.1221 0.4513
0.2500 0.8789 0.1505
0.2500 0.3789 0.3495
0.7500 0.1211 0.8495
0.7500 0.6211 0.6505
```

The excess energy over the best structure of this formula in the dataset comes out at 0.000 eV per atom. As for the space-group type: Pnma (62). As for the calculated formation energy: 0.1 eV per formula unit. The calculation puts the density at 7442 kg/m3.

=====

Density functional theory data (GGA-PBE) for FeN2Cl2 after structural relaxation.

Geometry as POSCAR:
```
FeN2Cl2
1.0
0.6059 -1.8562 -4.7487
-2.8518 -4.2135 0.6895
-2.7826 1.7155 -1.0256
Fe Cl N
1 2 2
Direct
0.5000 0.5000 0.0000
0.2709 0.7291 0.5000
0.7291 0.2709 0.5000
0.2756 0.2756 0.0000
0.7244 0.7244 0.0000
```

The excess energy over the best structure of this formula in the dataset comes out at 1.528 eV per atom. As for the space-group type: Cmmm (65). The calculation puts the density at 2862 kg/m3. For the energy relative to the elements, uncorrected, the calculation gives 1108 meV per atom.

=====

Density functional theory data (GGA-PBE) for KNbAu2Se after structural relaxation.

Geometry as POSCAR:
```
KNbAu2Se
1.0
5.2534 0.0000 0.0000
0.0000 5.6172 0.0000
0.0000 0.0000 5.2534
Nb Au Se K
1 2 1 1
Direct
0.0000 0.5000 0.0000
0.5000 0.0000 0.0000
0.0000 0.0000 0.5000
0.5000 0.5000 0.5000
0.0000 0.0000 0.0000
```

As for the space-group type: P4/mmm (123). The calculation puts the density at 6479 kg/m3. For the energy relative to the elements, uncorrected, the calculation gives 1823 meV per atom.

=====

Density functional theory data (GGA-PBE) for ScCrRh3 after structural relaxation.

Geometry as POSCAR:
```
ScCrRh3
1.0
-4.4280 -0.5859 -0.0666
0.4651 -3.7807 2.3335
-0.3624 2.3061 3.8086
Rh Cr Sc
3 1 1
Direct
0.0000 0.0000 0.5000
0.0000 0.5000 0.0000
0.5000 0.0000 0.0000
0.0000 0.0000 0.0000
0.5000 0.5000 0.5000
```

The excess energy over the best structure of this formula in the dataset comes out at 0.000 eV per atom. As for the space-group type: Pm-3m (221). As for the calculated formation energy: 1.2 eV per formula unit. The calculation puts the density at 7557 kg/m3.

=====

Density functional theory data (GGA-PBE) for InOs2Se after structural relaxation.

Geometry as POSCAR:
```
InOs2Se
1.0
-2.6079 0.7675 -0.9833
-1.6406 -2.9526 2.0468
-0.7170 3.7409 4.8218
In Os Se
1 2 1
Direct
0.5000 0.5000 0.7844
0.0000 0.0000 0.0344
0.5000 0.5000 0.2559
0.0000 0.0000 0.4253
```

The excess energy over the best structure of this formula in the dataset comes out at 0.161 eV per atom. As for the space-group type: Pmm2 (25). The calculation puts the density at 13591 kg/m3. For the energy relative to the elements, uncorrected, the calculation gives 482 meV per atom.

=====

Density functional theory data (GGA-PBE) for Bi2SOF2 after structural relaxation.

Geometry as POSCAR:
```
Bi2SOF2
1.0
-2.6843 -1.4202 -2.2874
-3.1452 -3.2645 5.7176
-4.4370 6.4167 1.2229
S Bi F O
2 4 4 2
Direct
0.0000 0.9906 0.3951
0.0000 0.4906 0.6049
0.5000 0.3573 0.3928
0.0000 0.7391 0.1539
0.0000 0.2391 0.8461
0.5000 0.8573 0.6072
0.0000 0.8876 0.8029
0.5000 0.9240 0.0685
0.0000 0.3876 0.1971
0.5000 0.4240 0.9315
0.5000 0.1470 0.6904
0.5000 0.6470 0.3096
```

As for the space-group type: Pmc2_1 (26). The calculation puts the density at 7641 kg/m3. For the energy relative to the elements, uncorrected, the calculation gives -1514 meV per atom.

=====

Density functional theory data (GGA-PBE) for Li2B3C3 after structural relaxation.

Geometry as POSCAR:
```
Li2B3C3
1.0
3.3123 3.7288 5.8677
6.7200 2.3894 2.9046
4.1284 6.2034 1.9439
C B Li
6 6 4
Direct
0.5820 0.2500 0.9180
0.2500 0.9180 0.5820
0.7500 0.0820 0.4180
0.4180 0.7500 0.0820
0.0820 0.4180 0.7500
0.9180 0.5820 0.2500
0.0850 0.7500 0.4150
0.2500 0.5850 0.9150
0.9150 0.2500 0.5850
0.4150 0.0850 0.7500
0.7500 0.4150 0.0850
0.5850 0.9150 0.2500
0.3332 0.3332 0.3332
0.8332 0.8332 0.8332
0.1668 0.1668 0.1668
0.6668 0.6668 0.6668
```

The excess energy over the best structure of this formula in the dataset comes out at 0.004 eV per atom. As for the space-group type: R-3c (167). As for the calculated formation energy: -1.4 eV per formula unit. The calculation puts the density at 1976 kg/m3.

=====

Number 1: DFT total energy -4.60 eV/atom. Number 2: DFT total energy -4.61 eV/atom. Number 3: DFT total energy -4.65 eV/atom. Number 4: DFT total energy -2.42 eV/atom. Number 5: DFT total energy -7.37 eV/atom. Number 6: DFT total energy -6.69 eV/atom. Number 7: DFT total energy -4.95 eV/atom. Number 8: DFT total energy -6.61 eV/atom.